This record from Alexandria describes a geometry-optimized KSc2Pt2 structure. The functional is PBE-GGA.

Energy above the lowest structure with this stoichiometry (eV per formula unit): 0.27
Calculated volume (Å³/atom): 21.3
Total DFT energy (no corrections) (eV/cell): -58.49
Space-group type: P4/mbm, No. 127
Energy relative to the elements (eV/atom): -0.681

Cell: 8.329 8.329 3.065 Å, 90.00 90.00 90.00°
Element x y z (fractional)
K (0.000, 0.000, 0.000)
K (0.500, 0.500, 0.000)
Sc (0.138, 0.362, 0.500)
Sc (0.362, 0.862, 0.500)
Sc (0.638, 0.138, 0.500)
Sc (0.862, 0.638, 0.500)
Pt (0.147, 0.647, 0.000)
Pt (0.353, 0.147, 0.000)
Pt (0.647, 0.853, 0.000)
Pt (0.853, 0.353, 0.000)